Record 1
BeIOF2 | PBEsol | optimized geometry

Geometry as POSCAR:
```
BeIOF2
1.0
3.986 0.000 0.000
0.000 4.731 0.000
0.000 0.000 4.731
I Be O F
1 1 1 2
Direct
0.000 0.000 0.000
0.500 0.500 0.500
0.500 0.000 0.000
0.000 0.000 0.500
0.000 0.500 0.000
```

Results
Formation energy (no corrections) in eV per atom: 0.022
D(E_F) in states/eV/f.u.: 1.904
Spin magnetization in μB per cell: 0.63
Calculated total energy in eV per atom: -2.9523
SG: P4/mmm, No. 123



Record 2
GeBTe2N | PBEsol | optimized geometry

Geometry as POSCAR:
```
GeBTe2N
1.0
-2.017 -1.093 1.548
1.102 -5.388 -2.368
3.950 -1.109 4.362
Ge Te B N
1 2 1 1
Direct
0.500 0.500 0.500
0.000 0.000 0.500
0.000 0.500 0.000
0.000 0.000 0.000
0.500 0.000 0.000
```

Results
Formation energy (no corrections) in eV per atom: 0.226
D(E_F) in states/eV/f.u.: 3.035
Spin magnetization in μB per cell: 0.00
Calculated total energy in eV per atom: -5.2804
SG: P4/mmm, No. 123



Record 3
Os2W | PBEsol | optimized geometry

Geometry as POSCAR:
```
Os2W
1.0
-1.417 1.230 2.428
-3.338 0.684 -2.294
-1.461 -3.701 1.023
Os W
2 1
Direct
0.500 0.000 0.500
0.500 0.500 0.000
0.000 0.000 0.000
```

Results
D(E_F) in states/eV/f.u.: 3.141
Spin magnetization in μB per cell: 0.00
Calculated total energy in eV per atom: -11.6538
SG: P4/mmm, No. 123



Record 4
Cs3IrPb | PBEsol | optimized geometry

Geometry as POSCAR:
```
Cs3IrPb
1.0
-5.723 1.338 -1.224
-1.476 -5.792 0.567
-1.054 0.841 5.850
Pb Cs Ir
1 3 1
Direct
0.500 0.500 0.500
0.000 0.500 0.000
0.000 0.000 0.500
0.500 0.000 0.000
0.000 0.000 0.000
```

Results
D(E_F) in states/eV/f.u.: 2.591
Spin magnetization in μB per cell: 2.72
Calculated total energy in eV per atom: -2.5693
SG: Pm-3m, No. 221



Record 5
Rb2Se2S | PBEsol | optimized geometry

Geometry as POSCAR:
```
Rb2Se2S
1.0
-2.619 2.513 1.278
-2.493 -1.248 -2.652
-0.838 -7.416 7.070
S Se Rb
1 2 2
Direct
0.000 0.000 0.000
0.250 0.750 0.500
0.750 0.250 0.500
0.406 0.406 0.811
0.594 0.594 0.189
```

Results
Formation energy (no corrections) in eV per atom: -0.615
D(E_F) in states/eV/f.u.: 2.280
Spin magnetization in μB per cell: 0.62
Calculated total energy in eV per atom: -3.4423
SG: I4/mmm, No. 139



Record 6
TaBeB | PBEsol | optimized geometry

Geometry as POSCAR:
```
TaBeB
1.0
3.237 0.000 0.000
-1.619 2.803 0.000
0.000 0.000 3.235
Be B Ta
1 1 1
Direct
0.333 0.667 0.500
0.000 0.000 0.500
0.667 0.333 0.000
```

Results
D(E_F) in states/eV/f.u.: 0.257
Spin magnetization in μB per cell: 0.00
Calculated total energy in eV per atom: -8.5614
SG: P-6m2, No. 187



Record 7
Ba2La2Tc | PBEsol | optimized geometry

Geometry as POSCAR:
```
Ba2La2Tc
1.0
-0.269 4.103 -0.794
-3.525 0.205 2.252
7.235 -0.221 7.451
Tc Ba La
1 2 2
Direct
0.000 0.000 0.000
0.250 0.750 0.500
0.750 0.250 0.500
0.425 0.425 0.851
0.575 0.575 0.149
```

Results
D(E_F) in states/eV/f.u.: 6.044
Spin magnetization in μB per cell: 0.00
Calculated total energy in eV per atom: -4.2248
SG: I4/mmm, No. 139



Record 8
SrGaAsS2 | PBEsol | optimized geometry

Geometry as POSCAR:
```
SrGaAsS2
1.0
4.738 0.000 0.000
0.000 5.016 0.000
0.000 0.000 5.016
Sr As S Ga
1 1 2 1
Direct
0.500 0.500 0.500
0.000 0.000 0.000
0.000 0.000 0.500
0.000 0.500 0.000
0.500 0.000 0.000
```

Results
Formation energy (no corrections) in eV per atom: -0.438
D(E_F) in states/eV/f.u.: 2.151
Spin magnetization in μB per cell: 0.00
Calculated total energy in eV per atom: -4.2492
SG: P4/mmm, No. 123



Record 9
Nb6PbS8 | PBEsol | optimized geometry

Geometry as POSCAR:
```
Nb6PbS8
1.0
-2.200 0.085 -2.549
-6.265 -4.904 5.242
0.033 9.523 0.289
Nb Pb S
6 1 8
Direct
0.748 0.373 0.886
0.748 0.114 0.487
0.748 0.513 0.627
0.252 0.627 0.114
0.252 0.886 0.513
0.252 0.487 0.373
0.500 0.000 0.000
0.751 0.667 0.333
0.249 0.333 0.667
0.753 0.056 0.716
0.753 0.284 0.340
0.753 0.660 0.944
0.247 0.944 0.284
0.247 0.716 0.660
0.247 0.340 0.056
```

Results
Formation energy (no corrections) in eV per atom: -1.096
D(E_F) in states/eV/f.u.: 2.852
Spin magnetization in μB per cell: 0.00
Calculated total energy in eV per atom: -8.0293
SG: P-3, No. 147



Record 10
Be4CdCl | PBEsol | optimized geometry

Geometry as POSCAR:
```
Be4CdCl
1.0
4.742 0.000 0.000
2.371 4.107 0.000
2.371 1.369 3.872
Be Cl Cd
4 1 1
Direct
0.621 0.621 0.136
0.136 0.621 0.621
0.621 0.136 0.621
0.621 0.621 0.621
0.000 0.000 0.000
0.250 0.250 0.250
```

Results
Formation energy (no corrections) in eV per atom: 0.519
D(E_F) in states/eV/f.u.: 2.102
Spin magnetization in μB per cell: 0.00
Calculated total energy in eV per atom: -2.6822
SG: F-43m, No. 216



Record 11
Ti2Be2Ga | PBEsol | optimized geometry

Geometry as POSCAR:
```
Ti2Be2Ga
1.0
3.631 0.000 0.000
0.000 5.896 0.000
0.000 0.000 5.896
Be Ga Ti
4 2 4
Direct
0.000 0.374 0.874
0.000 0.874 0.626
0.000 0.626 0.126
0.000 0.126 0.374
0.000 0.000 0.000
0.000 0.500 0.500
0.500 0.167 0.667
0.500 0.667 0.833
0.500 0.833 0.333
0.500 0.333 0.167
```

Results
D(E_F) in states/eV/f.u.: 2.114
Spin magnetization in μB per cell: 0.00
Calculated total energy in eV per atom: -5.9348
SG: P4/mbm, No. 127



Record 12
TaAsSe2Br | PBEsol | optimized geometry

Geometry as POSCAR:
```
TaAsSe2Br
1.0
-0.631 -2.664 -4.168
-0.126 -4.192 2.698
-5.005 0.452 0.469
As Se Br Ta
1 2 1 1
Direct
0.500 0.500 0.500
0.000 0.500 0.000
0.500 0.000 0.000
0.000 0.000 0.500
0.000 0.000 0.000
```

Results
Formation energy (no corrections) in eV per atom: 0.249
D(E_F) in states/eV/f.u.: 3.327
Spin magnetization in μB per cell: 2.31
Calculated total energy in eV per atom: -5.1961
SG: P4/mmm, No. 123